No. 1
First-principles (PBE) data for a geometry-optimized ReMoPd2 structure, as listed in Alexandria via LeMat-Bulk.

Calculated values
- Energy: -7.8415 eV/atom
- DOS(E_F): 8.87 states/eV/cell
- ΔH_f (0 K): 55 kJ per mole of atoms
- Total magnetization: 0.005 μB/f.u.

abc: 4.444 4.444 4.444
angles: 60.00 60.00 60.00
Fractional positions:
Re: 0.500 0.500 0.500
Mo: 0.000 0.000 0.000
Pd: 0.250 0.250 0.250
Pd: 0.750 0.750 0.750



No. 2
First-principles (PBE) data for a geometry-optimized Re2MoPd structure, as listed in Alexandria via LeMat-Bulk.

Calculated values
- Energy: -9.3370 eV/atom
- DOS(E_F): 9.12 states/eV/cell
- ΔH_f (0 K): 86 kJ per mole of atoms
- Total magnetization: 0.000 μB/f.u.

abc: 7.125 7.125 5.696
angles: 51.29 51.29 90.00
Fractional positions:
Re: 0.607 0.125 0.250
Re: 0.143 0.625 0.250
Re: 0.375 0.393 0.750
Re: 0.875 0.857 0.750
Mo: 0.500 0.500 0.000
Mo: 0.250 0.750 0.500
Pd: 0.000 0.000 0.000
Pd: 0.750 0.250 0.500



No. 3
First-principles (PBE) data for a geometry-optimized Re2MoPd structure, as listed in Alexandria via LeMat-Bulk.

Calculated values
- Energy: -10.1683 eV/atom
- DOS(E_F): 2.72 states/eV/cell
- ΔH_f (0 K): 6 kJ per mole of atoms
- Total magnetization: 0.000 μB/f.u.

abc: 3.934 3.915 3.915
angles: 90.00 90.00 90.00
Fractional positions:
Re: 0.000 0.000 0.500
Re: 0.000 0.500 0.000
Mo: 0.500 0.500 0.500
Pd: 0.500 0.000 0.000



No. 4
First-principles (PBE) data for a geometry-optimized ReMoPd3 structure, as listed in Alexandria via LeMat-Bulk.

Calculated values
- Energy: -6.1448 eV/atom
- DOS(E_F): 4.09 states/eV/cell
- ΔH_f (0 K): 157 kJ per mole of atoms
- Total magnetization: 3.799 μB/f.u.

abc: 4.776 4.776 4.776
angles: 90.00 90.00 90.00
Each line ends with the local moment (μB).
Fractional positions:
Re: 0.000 0.000 0.000  -0.12
Mo: 0.500 0.500 0.500  3.35
Pd: 0.000 0.500 0.000  -0.03
Pd: 0.000 0.000 0.500  -0.07
Pd: 0.500 0.000 0.000  0.07



No. 5
First-principles (PBE) data for a geometry-optimized ReTeMoPd2 structure, as listed in Alexandria via LeMat-Bulk.

Calculated values
- Energy: -6.1435 eV/atom
- DOS(E_F): 5.13 states/eV/cell
- Total magnetization: 0.001 μB/f.u.
- Energy relative to the elements, uncorrected: 1.2179 eV per atom

abc: 4.898 4.898 4.697
angles: 90.00 90.00 90.00
Fractional positions:
Re: 0.000 0.000 0.000
Mo: 0.000 0.000 0.500
Te: 0.500 0.500 0.500
Pd: 0.000 0.500 0.000
Pd: 0.500 0.000 0.000



No. 6
First-principles (PBE) data for a geometry-optimized ZrReMoPd2 structure, as listed in Alexandria via LeMat-Bulk.

Calculated values
- Energy: -7.0251 eV/atom
- DOS(E_F): 6.20 states/eV/cell
- ΔH_f (0 K): 137 kJ per mole of atoms
- Total magnetization: 3.566 μB/f.u.

abc: 4.858 4.804 4.858
angles: 90.00 90.00 90.00
Each line ends with the local moment (μB).
Fractional positions:
Re: 0.000 0.000 0.000  0.17
Mo: 0.500 0.500 0.500  3.03
Zr: 0.000 0.500 0.000  -0.12
Pd: 0.000 0.000 0.500  -0.04
Pd: 0.500 0.000 0.000  0.05



No. 7
First-principles (PBE) data for a geometry-optimized Mo2PdRh2 structure, as listed in Alexandria via LeMat-Bulk.

Calculated values
- Energy: -8.3273 eV/atom
- DOS(E_F): 13.10 states/eV/cell
- ΔH_f (0 K): -2 kJ per mole of atoms
- Total magnetization: 0.323 μB/f.u.

abc: 2.773 2.773 22.625
angles: 90.00 90.00 120.00
Each line ends with the local moment (μB).
Fractional positions:
Mo: 0.000 0.000 0.549  -0.01
Mo: 0.000 0.000 0.748  0.00
Mo: 0.000 0.000 0.945  0.00
Mo: 0.667 0.333 0.052  -0.02
Pd: 0.000 0.000 0.151  0.06
Pd: 0.000 0.000 0.352  0.17
Rh: 0.667 0.333 0.253  0.46
Rh: 0.667 0.333 0.455  0.01
Rh: 0.667 0.333 0.649  0.00
Rh: 0.667 0.333 0.846  0.00



No. 8
First-principles (PBE) data for a geometry-optimized MoPd2Rh structure, as listed in Alexandria via LeMat-Bulk.

Calculated values
- Energy: -6.9379 eV/atom
- DOS(E_F): 3.66 states/eV/cell
- ΔH_f (0 K): 20 kJ per mole of atoms
- Total magnetization: 0.000 μB/f.u.

abc: 4.415 4.415 4.415
angles: 60.00 60.00 60.00
Fractional positions:
Mo: 0.000 0.000 0.000
Rh: 0.500 0.500 0.500
Pd: 0.250 0.250 0.250
Pd: 0.750 0.750 0.750



No. 9
First-principles (PBE) data for a geometry-optimized MoPd2Rh structure, as listed in Alexandria via LeMat-Bulk.

Calculated values
- Energy: -7.2478 eV/atom
- DOS(E_F): 4.27 states/eV/cell
- ΔH_f (0 K): -10 kJ per mole of atoms
- Total magnetization: 0.000 μB/f.u.

abc: 2.772 2.773 8.352
angles: 90.00 109.36 89.99
Fractional positions:
Mo: 0.759 0.125 0.634
Pd: 0.247 0.125 0.122
Pd: 0.008 0.625 0.382
Rh: 0.487 0.625 0.862



No. 10
First-principles (PBE) data for a geometry-optimized MoPd2Rh2 structure, as listed in Alexandria via LeMat-Bulk.

Calculated values
- Energy: -6.7699 eV/atom
- DOS(E_F): 7.17 states/eV/cell
- ΔH_f (0 K): 40 kJ per mole of atoms
- Total magnetization: 0.000 μB/f.u.

abc: 3.216 5.914 9.486
angles: 87.36 80.24 74.22
Fractional positions:
Mo: 0.250 0.500 0.500
Mo: 0.500 0.000 0.000
Pd: 0.375 0.250 0.250
Pd: 0.875 0.750 0.750
Pd: 0.375 0.750 0.250
Pd: 0.375 0.250 0.750
Rh: 0.908 0.184 0.500
Rh: 0.158 0.684 0.000
Rh: 0.592 0.816 0.500
Rh: 0.842 0.316 0.000



No. 11
First-principles (PBE) data for a geometry-optimized Mo2PdRh structure, as listed in Alexandria via LeMat-Bulk.

Calculated values
- Energy: -8.1734 eV/atom
- DOS(E_F): 5.68 states/eV/cell
- ΔH_f (0 K): 36 kJ per mole of atoms
- Total magnetization: 0.000 μB/f.u.

abc: 4.447 4.447 4.447
angles: 60.00 60.00 60.00
Fractional positions:
Mo: 0.250 0.250 0.250
Mo: 0.750 0.750 0.750
Rh: 0.000 0.000 0.000
Pd: 0.500 0.500 0.500



No. 12
First-principles (PBE) data for a geometry-optimized Mo2PdRh structure, as listed in Alexandria via LeMat-Bulk.

Calculated values
- Energy: -8.2056 eV/atom
- DOS(E_F): 4.91 states/eV/cell
- ΔH_f (0 K): 33 kJ per mole of atoms
- Total magnetization: 0.000 μB/f.u.

abc: 2.761 2.761 9.701
angles: 81.82 81.82 60.00
Fractional positions:
Mo: 0.086 0.086 0.741
Mo: 0.914 0.914 0.259
Rh: 0.000 0.000 0.000
Pd: 0.500 0.500 0.500



No. 13
First-principles (PBE) data for a geometry-optimized Mo2Pd2Rh3 structure, as listed in Alexandria via LeMat-Bulk.

Calculated values
- Energy: -7.7495 eV/atom
- DOS(E_F): 6.96 states/eV/cell
- ΔH_f (0 K): -2 kJ per mole of atoms
- Total magnetization: 0.000 μB/f.u.

abc: 4.015 2.712 9.847
angles: 90.00 101.76 90.00
Fractional positions:
Mo: 0.140 0.000 0.279
Mo: 0.860 0.000 0.721
Pd: 0.292 0.500 0.585
Pd: 0.708 0.500 0.415
Rh: 0.430 0.500 0.861
Rh: 0.570 0.500 0.139
Rh: 0.000 0.000 0.000



No. 14
First-principles (PBE) data for a geometry-optimized MoPdRh6 structure, as listed in Alexandria via LeMat-Bulk.

Calculated values
- Energy: -7.6225 eV/atom
- DOS(E_F): 8.33 states/eV/cell
- ΔH_f (0 K): -10 kJ per mole of atoms
- Total magnetization: 0.000 μB/f.u.

abc: 3.870 3.870 7.719
angles: 90.00 90.00 90.00
Fractional positions:
Mo: 0.000 0.000 0.500
Pd: 0.000 0.000 0.000
Rh: 0.500 0.500 0.000
Rh: 0.500 0.500 0.500
Rh: 0.500 0.000 0.257
Rh: 0.500 0.000 0.743
Rh: 0.000 0.500 0.257
Rh: 0.000 0.500 0.743



No. 15
First-principles (PBE) data for a geometry-optimized MoPdRh3 structure, as listed in Alexandria via LeMat-Bulk.

Calculated values
- Energy: -6.4472 eV/atom
- DOS(E_F): 6.06 states/eV/cell
- ΔH_f (0 K): 113 kJ per mole of atoms
- Total magnetization: 0.000 μB/f.u.

abc: 4.629 4.629 4.629
angles: 90.00 90.00 90.00
Fractional positions:
Mo: 0.000 0.000 0.000
Rh: 0.000 0.500 0.000
Rh: 0.000 0.000 0.500
Rh: 0.500 0.000 0.000
Pd: 0.500 0.500 0.500



No. 16
First-principles (PBE) data for a geometry-optimized Mo4PdRh4 structure, as listed in Alexandria via LeMat-Bulk.

Calculated values
- Energy: -8.7312 eV/atom
- DOS(E_F): 9.71 states/eV/cell
- ΔH_f (0 K): -7 kJ per mole of atoms
- Total magnetization: 0.000 μB/f.u.

abc: 3.809 6.243 6.243
angles: 84.66 72.24 72.24
Fractional positions:
Mo: 0.000 0.669 0.331
Mo: 0.000 0.331 0.669
Mo: 0.669 0.331 0.331
Mo: 0.331 0.669 0.669
Pd: 0.000 0.000 0.000
Rh: 0.331 0.337 0.000
Rh: 0.669 0.663 0.000
Rh: 0.669 0.000 0.663
Rh: 0.331 0.000 0.337



No. 17
First-principles (PBE) data for a geometry-optimized MoPdRh3 structure, as listed in Alexandria via LeMat-Bulk.

Calculated values
- Energy: -5.6543 eV/atom
- DOS(E_F): 11.31 states/eV/cell
- ΔH_f (0 K): 189 kJ per mole of atoms
- Total magnetization: 0.001 μB/f.u.

abc: 4.632 4.632 4.632
angles: 90.00 90.00 90.00
Fractional positions:
Mo: 0.500 0.500 0.500
Rh: 0.000 0.500 0.000
Rh: 0.000 0.000 0.500
Rh: 0.500 0.000 0.000
Pd: 0.000 0.000 0.000



No. 18
First-principles (PBE) data for a geometry-optimized Mo2Pd2Rh structure, as listed in Alexandria via LeMat-Bulk.

Calculated values
- Energy: -7.8868 eV/atom
- DOS(E_F): 5.66 states/eV/cell
- ΔH_f (0 K): -1 kJ per mole of atoms
- Total magnetization: 0.000 μB/f.u.

abc: 3.873 4.835 4.840
angles: 80.11 66.40 66.40
Fractional positions:
Mo: 0.788 0.104 0.822
Mo: 0.212 0.896 0.178
Pd: 0.403 0.297 0.396
Pd: 0.597 0.703 0.604
Rh: 0.000 0.500 0.000



No. 19
First-principles (PBE) data for a geometry-optimized Mo2PdRh structure, as listed in Alexandria via LeMat-Bulk.

Calculated values
- Energy: -8.4119 eV/atom
- DOS(E_F): 5.49 states/eV/cell
- ΔH_f (0 K): 13 kJ per mole of atoms
- Total magnetization: 0.000 μB/f.u.

abc: 4.428 4.428 4.428
angles: 60.00 60.00 60.00
Fractional positions:
Mo: 0.000 0.000 0.000
Mo: 0.250 0.250 0.250
Pd: 0.500 0.500 0.500
Rh: 0.750 0.750 0.750



No. 20
First-principles (PBE) data for a geometry-optimized Mo5PdRh4 structure, as listed in Alexandria via LeMat-Bulk.

Calculated values
- Energy: -9.0159 eV/atom
- DOS(E_F): 8.20 states/eV/cell
- ΔH_f (0 K): -14 kJ per mole of atoms
- Total magnetization: 0.000 μB/f.u.

abc: 2.744 2.744 19.858
angles: 90.00 90.00 90.00
Fractional positions:
Mo: 0.500 0.500 0.104
Mo: 0.500 0.500 0.302
Mo: 0.500 0.500 0.500
Mo: 0.500 0.500 0.698
Mo: 0.500 0.500 0.896
Pd: 0.000 0.000 0.000
Rh: 0.000 0.000 0.202
Rh: 0.000 0.000 0.400
Rh: 0.000 0.000 0.600
Rh: 0.000 0.000 0.798



No. 21
First-principles (PBE) data for a geometry-optimized Mo2PdRh structure, as listed in Alexandria via LeMat-Bulk.

Calculated values
- Energy: -8.0366 eV/atom
- DOS(E_F): 7.38 states/eV/cell
- ΔH_f (0 K): 50 kJ per mole of atoms
- Total magnetization: 0.000 μB/f.u.

abc: 7.086 7.086 5.669
angles: 51.32 51.32 90.00
Fractional positions:
Mo: 0.602 0.125 0.250
Mo: 0.148 0.625 0.250
Mo: 0.375 0.398 0.750
Mo: 0.875 0.852 0.750
Rh: 0.500 0.500 0.000
Rh: 0.250 0.750 0.500
Pd: 0.000 0.000 0.000
Pd: 0.750 0.250 0.500



No. 22
First-principles (PBE) data for a geometry-optimized Mo2PdRh2 structure, as listed in Alexandria via LeMat-Bulk.

Calculated values
- Energy: -8.3011 eV/atom
- DOS(E_F): 9.81 states/eV/cell
- ΔH_f (0 K): 1 kJ per mole of atoms
- Total magnetization: 0.000 μB/f.u.

abc: 7.509 7.509 2.782
angles: 90.00 90.00 90.00
Fractional positions:
Mo: 0.168 0.668 0.500
Mo: 0.668 0.832 0.500
Mo: 0.832 0.332 0.500
Mo: 0.332 0.168 0.500
Rh: 0.372 0.872 0.000
Rh: 0.872 0.628 0.000
Rh: 0.628 0.128 0.000
Rh: 0.128 0.372 0.000
Pd: 0.000 0.000 0.000
Pd: 0.500 0.500 0.000



No. 23
First-principles (PBE) data for a geometry-optimized MoPd2Rh structure, as listed in Alexandria via LeMat-Bulk.

Calculated values
- Energy: -6.6248 eV/atom
- DOS(E_F): 10.63 states/eV/cell
- ΔH_f (0 K): 50 kJ per mole of atoms
- Total magnetization: 0.001 μB/f.u.

abc: 7.107 7.107 5.669
angles: 51.18 51.18 90.00
Fractional positions:
Mo: 0.500 0.500 0.000
Mo: 0.250 0.750 0.500
Rh: 0.000 0.000 0.000
Rh: 0.750 0.250 0.500
Pd: 0.609 0.125 0.250
Pd: 0.141 0.625 0.250
Pd: 0.375 0.391 0.750
Pd: 0.875 0.859 0.750



No. 24
First-principles (PBE) data for a geometry-optimized Mo4PdRh7 structure, as listed in Alexandria via LeMat-Bulk.

Calculated values
- Energy: -8.0382 eV/atom
- DOS(E_F): 12.53 states/eV/cell
- ΔH_f (0 K): 28 kJ per mole of atoms
- Total magnetization: 0.000 μB/f.u.

abc: 4.706 8.410 5.635
angles: 80.33 65.32 73.75
Fractional positions:
Mo: 0.578 0.228 0.617
Mo: 0.422 0.772 0.383
Mo: 0.726 0.683 0.864
Mo: 0.274 0.317 0.136
Pd: 0.000 0.000 0.000
Rh: 0.787 0.907 0.518
Rh: 0.213 0.093 0.482
Rh: 0.068 0.640 0.223
Rh: 0.932 0.360 0.777
Rh: 0.352 0.560 0.736
Rh: 0.500 0.000 0.000
Rh: 0.648 0.440 0.264



No. 25
First-principles (PBE) data for a geometry-optimized Mo2PdRh6 structure, as listed in Alexandria via LeMat-Bulk.

Calculated values
- Energy: -8.0239 eV/atom
- DOS(E_F): 9.42 states/eV/cell
- ΔH_f (0 K): -13 kJ per mole of atoms
- Total magnetization: 0.000 μB/f.u.

abc: 3.886 4.736 8.197
angles: 106.11 90.00 114.22
Fractional positions:
Mo: 0.677 0.353 0.726
Mo: 0.323 0.647 0.274
Pd: 0.000 0.000 0.500
Rh: 0.332 0.663 0.946
Rh: 0.668 0.337 0.054
Rh: 0.001 0.002 0.167
Rh: 0.666 0.333 0.387
Rh: 0.999 0.998 0.833
Rh: 0.334 0.667 0.613



No. 26
First-principles (PBE) data for a geometry-optimized MoPdRh3 structure, as listed in Alexandria via LeMat-Bulk.

Calculated values
- Energy: -6.9924 eV/atom
- DOS(E_F): 13.90 states/eV/cell
- ΔH_f (0 K): 60 kJ per mole of atoms
- Total magnetization: 0.000 μB/f.u.

abc: 4.702 6.314 6.314
angles: 113.48 90.00 90.00
Fractional positions:
Mo: 0.250 0.358 0.642
Mo: 0.750 0.642 0.358
Pd: 0.000 0.000 0.000
Pd: 0.500 0.000 0.000
Rh: 0.250 0.783 0.217
Rh: 0.750 0.217 0.783
Rh: 0.250 0.759 0.609
Rh: 0.750 0.241 0.391
Rh: 0.250 0.391 0.241
Rh: 0.750 0.609 0.759